! PBE-GGA CaSiAg4, optimized geometry; values from VASP
! - SG = No. 216
! - DOS(E_F) (states/eV per cell) = 1.32
! - electronic total energy (eV/cell) = -18.9
&SYSTEM
  ibrav = 0, nat = 6, ntyp = 3
/
ATOMIC_SPECIES
Ca 40.08 Ca.upf
Ag 107.87 Ag.upf
Si 28.09 Si.upf
CELL_PARAMETERS angstrom
0.000 3.926 3.926
3.926 0.000 3.926
3.926 3.926 0.000
ATOMIC_POSITIONS crystal
Ca 0.750 0.750 0.750
Ag 0.375 0.875 0.375
Ag 0.375 0.375 0.375
Ag 0.875 0.375 0.375
Ag 0.375 0.375 0.875
Si 0.000 0.000 0.000

! PBE-GGA Hf2CdAg, optimized geometry; values from VASP
! - formation enthalpy at 0 K (eV/atom) = -0.11
! - SG = No. 51
! - DOS(E_F) (states/eV per cell) = 1.97
&SYSTEM
  ibrav = 0, nat = 8, ntyp = 3
/
ATOMIC_SPECIES
Hf 178.49 Hf.upf
Cd 112.41 Cd.upf
Ag 107.87 Ag.upf
CELL_PARAMETERS angstrom
-1.604 -4.181 0.155
1.042 -0.238 4.390
-7.457 2.932 1.929
ATOMIC_POSITIONS crystal
Hf 0.500 0.250 0.125
Cd 0.000 0.250 0.389
Hf 0.000 0.250 0.874
Ag 0.500 0.750 0.377
Cd 0.000 0.750 0.611
Ag 0.500 0.250 0.623
Hf 0.000 0.750 0.126
Hf 0.500 0.750 0.875

! PBE-GGA PrNbAs2, optimized geometry; values from VASP
! - formation enthalpy at 0 K (eV/atom) = -0.60
! - excess energy over the best structure of this formula in the dataset (eV per atom) = 0.278
! - SG = No. 119
! - DOS(E_F) (states/eV per cell) = 4.56
&SYSTEM
  ibrav = 0, nat = 4, ntyp = 3
/
ATOMIC_SPECIES
As 74.92 As.upf
Pr 140.91 Pr.upf
Nb 92.91 Nb.upf
CELL_PARAMETERS angstrom
-3.580 1.368 -0.384
-1.418 -3.508 0.724
2.342 2.452 6.212
ATOMIC_POSITIONS crystal
As 0.846 0.506 0.478
Pr 0.221 0.881 0.228
As 0.597 0.256 0.979
Nb 0.471 0.631 0.728

! PBE-GGA Sc2SnBiH, optimized geometry; values from VASP
! - SG = No. 123
! - DOS(E_F) (states/eV per cell) = 1.36
! - electronic total energy (eV/cell) = -25.0
&SYSTEM
  ibrav = 0, nat = 5, ntyp = 4
/
ATOMIC_SPECIES
H 1.01 H.upf
Sc 44.96 Sc.upf
Bi 208.98 Bi.upf
Sn 118.71 Sn.upf
CELL_PARAMETERS angstrom
4.713 0.000 0.000
0.000 4.466 0.000
0.000 0.000 4.713
ATOMIC_POSITIONS crystal
H 0.000 0.000 0.000
Sc 0.500 0.000 0.000
Bi 0.500 0.500 0.500
Sc 0.000 0.000 0.500
Sn 0.000 0.500 0.000

! PBE-GGA Mg6CdGa8, optimized geometry; values from VASP
! - formation enthalpy at 0 K (eV/atom) = -0.06
! - SG = No. 148
! - DOS(E_F) (states/eV per cell) = 4.99
&SYSTEM
  ibrav = 0, nat = 15, ntyp = 3
/
ATOMIC_SPECIES
Mg 24.30 Mg.upf
Ga 69.72 Ga.upf
Cd 112.41 Cd.upf
CELL_PARAMETERS angstrom
1.916 -4.400 5.809
6.066 -4.428 -0.609
6.171 1.681 3.983
ATOMIC_POSITIONS crystal
Mg 0.539 0.270 0.032
Ga 0.394 0.394 0.394
Mg 0.968 0.461 0.730
Ga 0.405 0.172 0.800
Ga 0.828 0.200 0.595
Ga 0.200 0.595 0.828
Ga 0.800 0.405 0.172
Mg 0.270 0.032 0.539
Cd 0.000 0.000 0.000
Mg 0.730 0.968 0.461
Ga 0.595 0.828 0.200
Ga 0.172 0.800 0.405
Ga 0.606 0.606 0.606
Mg 0.032 0.539 0.270
Mg 0.461 0.730 0.968

! PBE-GGA Cr3PRu, optimized geometry; values from VASP
! - formation enthalpy at 0 K (eV/atom) = 1.34
! - excess energy over the best structure of this formula in the dataset (eV per atom) = 0.657
! - SG = No. 221
! - DOS(E_F) (states/eV per cell) = 5.01
&SYSTEM
  ibrav = 0, nat = 5, ntyp = 3
/
ATOMIC_SPECIES
Cr 52.00 Cr.upf
Ru 101.07 Ru.upf
P 30.97 P.upf
CELL_PARAMETERS angstrom
4.634 0.000 0.000
0.000 4.634 0.000
0.000 0.000 4.634
ATOMIC_POSITIONS crystal
Cr 0.000 0.000 0.500
Cr 0.000 0.500 0.000
Ru 0.000 0.000 0.000
Cr 0.500 0.000 0.000
P 0.500 0.500 0.500

Look up the DOS(E_F) of the third one. 4.56 states/eV per cell